# CsBiCl2O

A relaxed structure of CsBiCl2O (GGA-PBE, Alexandria via LeMat-Bulk).

Unit cell a=5.7692 b=5.7692 c=4.4382 alpha=90.00 beta=90.00 gamma=90.00
With the nearest neighbours (Å) after each atom.
Space group P4/mmm (No. 123)
Asymmetric unit:
Cs: 0.0000 0.0000 0.0000  8 Cl 3.64
Bi: 0.5000 0.5000 0.5000  2 O 2.22
Cl: 0.0000 0.5000 0.5000  2 Bi 2.88
O: 0.5000 0.5000 0.0000  2 Bi 2.22

Computed properties:
The value obtained for the energy relative to the elements, uncorrected is -1.305 eV/atom.

***

# FeSeCl2

A relaxed structure of FeSeCl2 (GGA-PBE, Alexandria via LeMat-Bulk).

Unit cell a=4.9713 b=3.2701 c=6.9870 alpha=90.00 beta=110.71 gamma=90.00
With the nearest neighbours (Å) after each atom.
Space group P2/m (No. 10)
Asymmetric unit:
Fe: 0.0000 0.0000 0.0000  4 Cl 2.36, 2 Se 2.49
Se: 0.5000 0.0000 0.0000  2 Fe 2.49
Cl: 0.1295 0.5000 0.2607  2 Fe 2.36

Computed properties:
The calculation puts the density of states at the Fermi level at 2.6 states/eV per cell. Its energy above the most stable polymorph in this dataset is 0.40 eV/f.u. The value obtained for the energy relative to the elements, uncorrected is -0.284 eV/atom.

***

# Np2TeAu

A relaxed structure of Np2TeAu (GGA-PBE, Alexandria via LeMat-Bulk).

Unit cell a=3.7488 b=3.7488 c=7.1065 alpha=90.00 beta=90.00 gamma=90.00
With the nearest neighbours (Å) after each atom.
Space group P4/mmm (No. 123)
Asymmetric unit:
Np: 0.0000 0.0000 0.2383  4 Au 3.15, 4 Te 3.24, 1 Np 3.39
Te: 0.5000 0.5000 0.5000  8 Np 3.24, 2 Au 3.55
Au: 0.5000 0.5000 0.0000  8 Np 3.15

Computed properties:
The calculation puts the density of states at the Fermi level at 12.7 states/eV per cell. Its energy above the most stable polymorph in this dataset is 0.00 eV/f.u. The value obtained for the energy relative to the elements, uncorrected is -0.217 eV/atom.

***

# Dy4YTm10

A relaxed structure of Dy4YTm10 (GGA-PBE, Alexandria via LeMat-Bulk).

Unit cell a=12.0374 b=12.0374 c=7.5978 alpha=90.00 beta=90.00 gamma=90.00
With the nearest neighbours (Å) after each atom.
Space group I4/m (No. 87)
Asymmetric unit:
Dy: 0.1004 0.2997 0.0000  8 Tm 3.29-3.30
Y: 0.0000 0.0000 0.5000  8 Tm 3.31
Tm: 0.0000 0.5000 0.2500  4 Dy 3.30
Tm: 0.0999 0.7988 0.2491  3 Dy 3.29, 1 Y 3.31

Computed properties:
Its energy of formation is 741.9 meV/atom. The calculation puts the density of states at the Fermi level at 31.6 states/eV per cell.

***

# CrFe2TcOs

A relaxed structure of CrFe2TcOs (GGA-PBE, Alexandria via LeMat-Bulk).

Unit cell a=4.4157 b=4.4157 c=4.3992 alpha=90.00 beta=90.00 gamma=90.00
With the nearest neighbours (Å) after each atom.
Space group P4/mmm (No. 123)
Asymmetric unit:
Cr: 0.0000 0.0000 0.0000  2 Os 2.20
Fe: 0.0000 0.5000 0.5000  2 Os 2.21
Tc: 0.5000 0.5000 0.0000  8 Fe 3.12, 4 Cr 3.12
Os: 0.0000 0.0000 0.5000  2 Cr 2.20, 4 Fe 2.21

Computed properties:
Its energy of formation is 1807.8 meV/atom. The calculation puts the density of states at the Fermi level at 8.9 states/eV per cell.

***

# CeNdThMg

A relaxed structure of CeNdThMg (GGA-PBE, Alexandria via LeMat-Bulk).

Unit cell a=7.8043 b=7.8043 c=7.8043 alpha=90.00 beta=90.00 gamma=90.00
With the nearest neighbours (Å) after each atom.
Space group F-43m (No. 216)
Asymmetric unit:
Ce: 0.0000 0.0000 0.0000  4 Th 3.38, 4 Nd 3.38
Nd: 0.2500 0.2500 0.7500  4 Ce 3.38, 4 Mg 3.38
Th: 0.2500 0.2500 0.2500  4 Ce 3.38, 4 Mg 3.38
Mg: 0.0000 0.0000 0.5000  4 Th 3.38, 4 Nd 3.38

Computed properties:
Its energy of formation is 173.5 meV/atom. The calculation puts the density of states at the Fermi level at 35.2 states/eV per cell.

***

# Be2NbAu

A relaxed structure of Be2NbAu (GGA-PBE, Alexandria via LeMat-Bulk).

Unit cell a=3.8768 b=3.8768 c=12.2288 alpha=90.00 beta=90.00 gamma=120.00
With the nearest neighbours (Å) after each atom.
Space group R-3m (No. 166, hexagonal axes)
Asymmetric unit:
Be: 0.0000 0.0000 0.2192  3 Au 2.33, 3 Be 2.58
Nb: 0.0000 0.0000 0.0000  8 Be 2.64-2.68
Au: 0.0000 0.0000 0.5000  6 Be 2.33

Computed properties:
Its energy of formation is -69.1 meV/atom. The calculation puts the density of states at the Fermi level at 4.5 states/eV per cell. Its energy above the most stable polymorph in this dataset is 0.11 eV/f.u.

***

# KRb3Ir2O8

A relaxed structure of KRb3Ir2O8 (GGA-PBE, Alexandria via LeMat-Bulk).

Unit cell a=6.3979 b=6.3979 c=8.2674 alpha=90.00 beta=90.00 gamma=120.00
With the nearest neighbours (Å) after each atom.
Space group P-3m1 (No. 164)
Asymmetric unit:
K: 0.0000 0.0000 0.0000  6 O 2.64
Rb: 0.0000 0.0000 0.5000  6 O 3.18
Rb: 0.3333 0.6667 0.1498  1 O 2.75
Ir: 0.3333 0.6667 0.6989  4 O 1.79-1.85
O: 0.1833 0.3665 0.7963  1 Ir 1.85
O: 0.3333 0.6667 0.4820  1 Ir 1.79

Computed properties:
The calculation puts the density of states at the Fermi level at 11.3 states/eV per cell. The value obtained for the energy relative to the elements, uncorrected is -1.037 eV/atom.

***

| no. | spin magnetization (μB/f.u.) | final energy (eV/atom) |
| --- | --- | --- |
| 1 | 0.00 | -3.982 |
| 2 | 4.23 | -4.194 |
| 3 | 9.51 | -8.292 |
| 4 | 0.00 | -3.897 |
| 5 | 4.71 | -7.821 |
| 6 | 0.01 | -4.756 |
| 7 | 0.00 | -5.269 |
| 8 | 2.08 | -5.422 |